Entry 1:
DFT (PBE) results for CrAs2Br after structural relaxation.

As for the crystal system: monoclinic. The value obtained for the offset from the most stable computed form is 0.0 meV/atom. As for the raw total energy: -5.26 eV/atom. The total magnetization comes out at 2.99 μB per formula unit.

It has space group Pm (No. 6), with a = 4.768 Å, b = 3.470 Å, c = 7.430 Å, α = 90.00°, β = 99.93° and γ = 90.00°. Symmetry generates all atoms from Cr at (0.000, 0.000, 0.000), As at (0.282, 0.500, 0.262), As at (0.511, 0.000, 0.098) and Br at (0.898, 0.500, 0.760).

Entry 2:
DFT (PBE) results for CrAs2Br after structural relaxation.

As for the crystal system: orthorhombic. The value obtained for the offset from the most stable computed form is 645.7 meV/atom. As for the raw total energy: -4.62 eV/atom. The total magnetization comes out at 3.60 μB per formula unit.

It has space group Cmmm (No. 65), with a = 5.126 Å, b = 10.464 Å, c = 3.128 Å, α = 90.00°, β = 90.00° and γ = 90.00°. Symmetry generates all atoms from Cr at (0.000, 0.000, 0.000), As at (0.250, 0.250, 0.500) and Br at (0.000, 0.500, 0.000).

Entry 3:
DFT (PBE) results for CrAs2Br after structural relaxation.

As for the crystal system: monoclinic. The value obtained for the offset from the most stable computed form is 142.4 meV/atom. As for the raw total energy: -5.12 eV/atom. The total magnetization comes out at 2.24 μB per formula unit.

It has space group C2/m (No. 12), with a = 7.448 Å, b = 3.376 Å, c = 7.899 Å, α = 90.00°, β = 108.65° and γ = 90.00°. Symmetry generates all atoms from Cr at (0.000, 0.000, 0.000), As at (0.147, 0.500, 0.847) and Br at (0.000, 0.500, 0.500).

Entry 4:
DFT (PBE) results for CrAsBr3 after structural relaxation.

As for the crystal system: cubic. As for the raw total energy: -3.59 eV/atom. The total magnetization comes out at 5.06 μB per formula unit.

It has space group Pm-3m (No. 221), with a = 5.352 Å, b = 5.352 Å, c = 5.352 Å, α = 90.00°, β = 90.00° and γ = 90.00°. Symmetry generates all atoms from Cr at (0.000, 0.000, 0.000), As at (0.500, 0.500, 0.500) and Br at (0.000, 0.500, 0.500).

Entry 5:
DFT (PBE) results for CrAs2Br after structural relaxation.

As for the crystal system: monoclinic. The value obtained for the offset from the most stable computed form is 52.8 meV/atom. As for the raw total energy: -5.21 eV/atom. The total magnetization comes out at 2.89 μB per formula unit.

It has space group Cm (No. 8), with a = 8.596 Å, b = 3.445 Å, c = 7.454 Å, α = 90.00°, β = 107.09° and γ = 90.00°. Symmetry generates all atoms from Cr at (0.000, 0.000, 0.000), As at (0.262, 0.000, 0.908), As at (0.430, 0.000, 0.715) and Br at (0.101, 0.500, 0.259).

Entry 6:
DFT (PBE) results for Cr2AsBr after structural relaxation.

As for the crystal system: tetragonal. The value obtained for the offset from the most stable computed form is 361.4 meV/atom. As for the raw total energy: -6.04 eV/atom. The total magnetization comes out at 8.10 μB per formula unit.

It has space group P4/mmm (No. 123), with a = 4.783 Å, b = 4.783 Å, c = 3.258 Å, α = 90.00°, β = 90.00° and γ = 90.00°. Symmetry generates all atoms from Cr at (0.000, 0.500, 0.000), As at (0.000, 0.000, 0.500) and Br at (0.500, 0.500, 0.500).

Entry 7:
DFT (PBE) results for CrAsBr after structural relaxation.

As for the crystal system: tetragonal. The value obtained for the offset from the most stable computed form is 417.6 meV/atom. As for the raw total energy: -5.09 eV/atom. The total magnetization comes out at 0.00 μB per formula unit.

It has space group I4mm (No. 107), with a = 2.991 Å, b = 2.991 Å, c = 13.551 Å, α = 90.00°, β = 90.00° and γ = 90.00°. Symmetry generates all atoms from Cr at (0.000, 0.000, 0.000), As at (0.000, 0.000, 0.617) and Br at (0.000, 0.000, 0.387).

Entry 8:
DFT (PBE) results for Cr4AsBr after structural relaxation.

As for the crystal system: cubic. As for the raw total energy: -6.64 eV/atom. The total magnetization comes out at 0.00 μB per formula unit.

It has space group F-43m (No. 216), with a = 6.959 Å, b = 6.959 Å, c = 6.959 Å, α = 90.00°, β = 90.00° and γ = 90.00°. Symmetry generates all atoms from Cr at (0.123, 0.123, 0.123), As at (0.000, 0.000, 0.500) and Br at (0.250, 0.250, 0.750).

Entry 9:
DFT (PBE) results for CrAs2Br after structural relaxation.

As for the crystal system: orthorhombic. The value obtained for the offset from the most stable computed form is 212.1 meV/atom. As for the raw total energy: -5.05 eV/atom. The total magnetization comes out at 1.82 μB per formula unit.

It has space group Cmmm (No. 65), with a = 3.790 Å, b = 4.319 Å, c = 11.279 Å, α = 90.00°, β = 90.00° and γ = 90.00°. Symmetry generates all atoms from Cr at (0.000, 0.000, 0.000), As at (0.000, 0.500, 0.151) and Br at (0.000, 0.000, 0.500).

Entry 10:
DFT (PBE) results for CrAsBr after structural relaxation.

As for the crystal system: trigonal. The value obtained for the offset from the most stable computed form is 57.2 meV/atom. As for the raw total energy: -5.45 eV/atom. The total magnetization comes out at 2.07 μB per formula unit.

It has space group P3m1 (No. 156), with a = 3.7047 Å, b = 3.7047 Å, c = 6.1084 Å, α = 90.00°, β = 90.00° and γ = 120.00°. Symmetry generates all atoms from Cr at (0.0000, 0.0000, 0.0000), As at (0.6667, 0.3333, 0.1776) and Br at (0.3333, 0.6667, 0.7299).

Entry 11:
DFT (PBE) results for CrAs2Br after structural relaxation.

As for the crystal system: orthorhombic. The value obtained for the offset from the most stable computed form is 378.4 meV/atom. As for the raw total energy: -4.88 eV/atom. The total magnetization comes out at 3.56 μB per formula unit.

It has space group Immm (No. 71), with a = 3.135 Å, b = 4.550 Å, c = 11.336 Å, α = 90.00°, β = 90.00° and γ = 90.00°. Symmetry generates all atoms from Cr at (0.000, 0.000, 0.000), As at (0.000, 0.500, 0.293) and Br at (0.000, 0.000, 0.500).

Entry 12:
DFT (PBE) results for CrAs2Br after structural relaxation.

As for the crystal system: tetragonal. The value obtained for the offset from the most stable computed form is 441.1 meV/atom. As for the raw total energy: -4.82 eV/atom. The total magnetization comes out at 4.18 μB per formula unit.

It has space group P4/mmm (No. 123), with a = 3.718 Å, b = 3.718 Å, c = 6.986 Å, α = 90.00°, β = 90.00° and γ = 90.00°. Symmetry generates all atoms from Cr at (0.000, 0.000, 0.000), As at (0.000, 0.500, 0.500) and Br at (0.500, 0.500, 0.000).

Results for formation energy without anion corrections: -0.11 0.53 0.03 0.26 -0.06 0.35 0.22 0.83 0.10 -0.14 0.26 0.33 (in eV per atom, following the order of the records).